The following is a DFT calculation (PBE) of a geometry-optimized Sr2RePt structure.

a b c (Å): 5.101 5.101 5.101
angles (deg): 60.00 60.00 60.00
Fractional coordinates of all 4 atoms:
Sr  0.000  0.000  0.000
Sr  0.250  0.250  0.250
Re  0.750  0.750  0.750
Pt  0.500  0.500  0.500

## Properties
* DOS(E_F): 1.9 states/eV/f.u.
* SG: No. 216
* E_tot: -4.7898 eV per atom
* energy of formation from the pure elements: 673.4 meV per atom
* energy above the lowest structure with this stoichiometry: 553.3 meV per atom
* size of the total moment: 2.727 Bohr magnetons per cell
* theoretical density: 9.848 g/cm3

***

The following is a DFT calculation (PBE) of a geometry-optimized KTcCl2 structure.

a b c (Å): 5.079 5.079 5.079
angles (deg): 60.00 60.00 60.00
Fractional coordinates of all 4 atoms:
K  0.000  0.000  0.000
Tc  0.500  0.500  0.500
Cl  0.250  0.250  0.250
Cl  0.750  0.750  0.750

## Properties
* DOS(E_F): 7.7 states/eV/f.u.
* uncorrected formation energy: -0.10 eV per atom
* SG: No. 225
* E_tot: -3.8866 eV per atom
* energy above the lowest structure with this stoichiometry: 323.0 meV per atom
* size of the total moment: 4.040 Bohr magnetons per cell
* theoretical density: 3.729 g/cm3

***

The following is a DFT calculation (PBE) of a geometry-optimized SrTc2BIr structure.

a b c (Å): 4.699 4.699 4.254
angles (deg): 90.00 90.00 90.00
Fractional coordinates of all 5 atoms:
Sr  0.000  0.000  0.000
Tc  0.000  0.500  0.000
Tc  0.500  0.000  0.000
B  0.000  0.000  0.500
Ir  0.500  0.500  0.500

## Properties
* DOS(E_F): 4.9 states/eV/f.u.
* SG: No. 123
* E_tot: -4.2949 eV per atom
* energy of formation from the pure elements: 3295.5 meV per atom
* size of the total moment: 0.000 Bohr magnetons per cell
* theoretical density: 8.604 g/cm3

***

The following is a DFT calculation (PBE) of a geometry-optimized Tb6Pr2HoTm structure.

a b c (Å): 8.799 8.799 9.742
angles (deg): 94.65 94.65 118.10
Fractional coordinates of all 20 atoms:
Tb  0.020  0.576  0.189
Tb  0.125  0.745  0.557
Tb  0.255  0.875  0.943
Tb  0.293  0.503  0.381
Tb  0.424  0.980  0.311
Tb  0.497  0.707  0.119
Tb  0.503  0.293  0.881
Tb  0.576  0.020  0.689
Tb  0.707  0.497  0.619
Tb  0.745  0.125  0.057
Tb  0.875  0.255  0.443
Tb  0.980  0.424  0.811
Pr  0.194  0.297  0.042
Pr  0.297  0.194  0.542
Pr  0.703  0.806  0.458
Pr  0.806  0.703  0.958
Ho  0.017  0.983  0.250
Ho  0.983  0.017  0.750
Tm  0.407  0.593  0.750
Tm  0.593  0.407  0.250

## Properties
* DOS(E_F): 13.7 states/eV/f.u.
* SG: No. 15
* E_tot: -4.5227 eV per atom
* energy of formation from the pure elements: 116.3 meV per atom
* size of the total moment: 0.000 Bohr magnetons per cell
* theoretical density: 7.933 g/cm3

***

The following is a DFT calculation (PBE) of a geometry-optimized SrPuTl6 structure.

a b c (Å): 4.890 4.890 9.768
angles (deg): 90.00 90.00 90.00
Fractional coordinates of all 8 atoms:
Sr  0.000  0.000  0.000
Pu  0.000  0.000  0.500
Tl  0.000  0.500  0.259
Tl  0.000  0.500  0.741
Tl  0.500  0.000  0.259
Tl  0.500  0.000  0.741
Tl  0.500  0.500  0.000
Tl  0.500  0.500  0.500

## Properties
* DOS(E_F): 17.6 states/eV/f.u.
* SG: No. 123
* E_tot: -3.9081 eV per atom
* energy of formation from the pure elements: -131.7 meV per atom
* size of the total moment: 5.801 Bohr magnetons per cell
* theoretical density: 11.076 g/cm3

***

The following is a DFT calculation (PBE) of a geometry-optimized Ac3Cu3Ni structure.

a b c (Å): 10.115 10.115 10.115
angles (deg): 156.29 154.62 35.01
Fractional coordinates of all 7 atoms:
Ac  0.000  0.000  0.000
Ac  0.358  0.358  0.000
Ac  0.685  0.185  0.500
Cu  0.120  0.620  0.500
Cu  0.549  0.549  0.000
Cu  0.814  0.814  0.000
Ni  0.248  0.748  0.500

## Properties
* DOS(E_F): 5.2 states/eV/f.u.
* SG: No. 44
* E_tot: -4.5379 eV per atom
* energy of formation from the pure elements: -195.7 meV per atom
* size of the total moment: 0.000 Bohr magnetons per cell
* theoretical density: 8.668 g/cm3

***

The following is a DFT calculation (PBE) of a geometry-optimized GeAs2Se structure.

a b c (Å): 6.598 6.598 6.598
angles (deg): 119.51 119.51 90.84
Fractional coordinates of all 8 atoms:
Ge  0.000  0.000  0.000
Ge  0.750  0.250  0.500
As  0.102  0.625  0.977
As  0.375  0.352  0.477
As  0.648  0.125  0.023
As  0.875  0.898  0.523
Se  0.250  0.750  0.500
Se  0.500  0.500  0.000

## Properties
* DOS(E_F): 0.4 states/eV/f.u.
* uncorrected formation energy: 0.24 eV per atom
* SG: No. 122
* E_tot: -4.1060 eV per atom
* size of the total moment: 0.000 Bohr magnetons per cell
* theoretical density: 4.894 g/cm3

***

The following is a DFT calculation (PBE) of a geometry-optimized BaZr2Al structure.

a b c (Å): 11.053 11.053 11.053
angles (deg): 17.17 17.17 17.17
Fractional coordinates of all 4 atoms:
Ba  0.000  0.000  0.000
Zr  0.238  0.238  0.238
Zr  0.762  0.762  0.762
Al  0.500  0.500  0.500

## Properties
* DOS(E_F): 3.3 states/eV/f.u.
* SG: No. 166
* E_tot: -5.3451 eV per atom
* energy of formation from the pure elements: 345.2 meV per atom
* size of the total moment: 0.000 Bohr magnetons per cell
* theoretical density: 5.607 g/cm3

***

The following is a DFT calculation (PBE) of a geometry-optimized ThAlZn17 structure.

a b c (Å): 6.849 6.849 6.849
angles (deg): 82.06 82.06 82.06
Fractional coordinates of all 19 atoms:
Th  0.000  0.000  0.000
Al  0.252  0.252  0.252
Zn  0.002  0.002  0.498
Zn  0.002  0.498  0.002
Zn  0.167  0.678  0.678
Zn  0.320  0.320  0.820
Zn  0.320  0.820  0.320
Zn  0.356  0.644  0.996
Zn  0.356  0.996  0.644
Zn  0.498  0.002  0.002
Zn  0.564  0.564  0.564
Zn  0.644  0.356  0.996
Zn  0.644  0.996  0.356
Zn  0.678  0.167  0.678
Zn  0.678  0.678  0.167
Zn  0.759  0.759  0.759
Zn  0.820  0.320  0.320
Zn  0.996  0.356  0.644
Zn  0.996  0.644  0.356

## Properties
* DOS(E_F): 4.8 states/eV/f.u.
* SG: No. 160
* E_tot: -1.8007 eV per atom
* energy of formation from the pure elements: -73.3 meV per atom
* size of the total moment: 0.000 Bohr magnetons per cell
* theoretical density: 7.276 g/cm3

***

The following is a DFT calculation (PBE) of a geometry-optimized LiTb2Ce structure.

a b c (Å): 5.606 5.606 3.570
angles (deg): 90.00 90.00 90.00
Fractional coordinates of all 4 atoms:
Li  0.000  0.000  0.000
Tb  0.000  0.500  0.500
Tb  0.500  0.000  0.500
Ce  0.500  0.500  0.000

## Properties
* DOS(E_F): 8.1 states/eV/f.u.
* SG: No. 123
* E_tot: -4.0903 eV per atom
* energy of formation from the pure elements: 186.8 meV per atom
* energy above the lowest structure with this stoichiometry: 83.4 meV per atom
* size of the total moment: 0.387 Bohr magnetons per cell
* theoretical density: 6.879 g/cm3

***

The following is a DFT calculation (PBE) of a geometry-optimized Y4MgTe5 structure.

a b c (Å): 7.537 7.537 7.537
angles (deg): 99.49 99.49 132.08
Fractional coordinates of all 10 atoms:
Y  0.091  0.312  0.404
Y  0.312  0.909  0.221
Y  0.688  0.091  0.779
Y  0.909  0.688  0.596
Mg  0.507  0.507  0.000
Te  0.004  0.004  0.000
Te  0.217  0.601  0.818
Te  0.399  0.217  0.616
Te  0.601  0.783  0.384
Te  0.783  0.399  0.182

## Properties
* DOS(E_F): 5.6 states/eV/f.u.
* uncorrected formation energy: -1.20 eV per atom
* SG: No. 79
* E_tot: -5.5167 eV per atom
* size of the total moment: 0.000 Bohr magnetons per cell
* theoretical density: 5.820 g/cm3

***

The following is a DFT calculation (PBE) of a geometry-optimized LuCd2Sb structure.

a b c (Å): 4.361 4.361 5.088
angles (deg): 90.00 90.00 90.00
Fractional coordinates of all 4 atoms:
Lu  0.000  0.000  0.000
Cd  0.000  0.500  0.500
Cd  0.500  0.000  0.500
Sb  0.500  0.500  0.000

## Properties
* DOS(E_F): 1.1 states/eV/f.u.
* uncorrected formation energy: -0.38 eV per atom
* SG: No. 123
* E_tot: -2.9973 eV per atom
* energy above the lowest structure with this stoichiometry: 0.0 meV per atom
* size of the total moment: 0.000 Bohr magnetons per cell
* theoretical density: 8.949 g/cm3